Entry 1:
Density functional theory data (PBE-GGA) for a relaxed Si2TeIr2 crystal.

Values from the calculation:
As for the uncorrected formation energy: -0.390 eV/atom. Its space group is No. 139. The crystal system is tetragonal. The mass density comes out at 10.8 g cm⁻³.

Structure (POSCAR):
```
Si2TeIr2
1.0
3.7715 0.0000 0.0000
0.0000 3.7715 0.0000
0.0000 0.0000 12.2471
Si Te Ir
4 2 4
Direct
0.0000 0.5000 0.2500 Si
0.0000 0.5000 0.7500 Si
0.5000 0.0000 0.2500 Si
0.5000 0.0000 0.7500 Si
0.0000 0.0000 0.0000 Te
0.5000 0.5000 0.5000 Te
0.0000 0.0000 0.3681 Ir
0.0000 0.0000 0.6319 Ir
0.5000 0.5000 0.1319 Ir
0.5000 0.5000 0.8681 Ir
```



Entry 2:
Density functional theory data (PBE-GGA) for a relaxed Ho4Ni3Pt crystal.

Values from the calculation:
As for the formation energy from the elements: -5.42 eV per formula unit. Its space group is No. 25. The crystal system is orthorhombic. The mass density comes out at 10.5 g cm⁻³.

Structure (POSCAR):
```
Ho4Ni3Pt
1.0
3.7121 0.0000 0.0000
0.0000 4.2999 0.0000
0.0000 0.0000 10.1853
Ho Ni Pt
4 3 1
Direct
0.0000 0.0000 0.0000 Ho
0.0000 0.5000 0.2722 Ho
0.5000 0.0000 0.4896 Ho
0.5000 0.5000 0.7760 Ho
0.0000 0.5000 0.5506 Ni
0.5000 0.0000 0.2065 Ni
0.5000 0.5000 0.0646 Ni
0.0000 0.0000 0.7133 Pt
```



Entry 3:
Density functional theory data (PBE-GGA) for a relaxed Tl2SbPdSe4 crystal.

Values from the calculation:
As for the uncorrected formation energy: -0.245 eV/atom. Its space group is No. 1. The crystal system is triclinic. The mass density comes out at 6.7 g cm⁻³.

Structure (POSCAR):
```
Tl2SbPdSe4
1.0
6.6585 0.0000 0.0000
-1.8815 6.4047 0.0000
-2.3697 -3.2140 5.5116
Tl Sb Pd Se
2 1 1 4
Direct
0.0000 0.0000 0.0000 Tl
0.1474 0.6441 0.5035 Tl
0.6421 0.1425 0.5003 Sb
0.3839 0.3847 0.0003 Pd
0.0489 0.4972 0.9036 Se
0.2858 0.1876 0.5660 Se
0.5971 0.1503 0.0992 Se
0.6257 0.7227 0.4338 Se
```



Entry 4:
Density functional theory data (PBE-GGA) for a relaxed Zn2NiHgSb crystal.

Values from the calculation:
As for the uncorrected formation energy: 0.302 eV/atom. Its space group is No. 123. The crystal system is tetragonal. The calculation puts the relative energy among the computed polymorphs at 1.00 eV/f.u. The mass density comes out at 8.0 g cm⁻³.

Structure (POSCAR):
```
Zn2NiHgSb
1.0
4.6295 0.0000 0.0000
0.0000 4.6295 0.0000
0.0000 0.0000 4.9640
Zn Ni Hg Sb
2 1 1 1
Direct
0.0000 0.5000 0.0000 Zn
0.5000 0.0000 0.0000 Zn
0.0000 0.0000 0.0000 Ni
0.0000 0.0000 0.5000 Hg
0.5000 0.5000 0.5000 Sb
```



Entry 5:
Density functional theory data (PBE-GGA) for a relaxed RbNpTl2Br8 crystal.

Values from the calculation:
As for the uncorrected formation energy: -1.106 eV/atom. Its space group is No. 2. The crystal system is triclinic. The mass density comes out at 4.2 g cm⁻³.

Structure (POSCAR):
```
RbNpTl2Br8
1.0
7.2784 0.0000 0.0000
0.1422 7.5920 0.0000
0.0120 0.0332 9.8590
Rb Np Tl Br
1 1 2 8
Direct
0.0000 0.0000 0.0000 Rb
0.0000 0.0000 0.5000 Np
0.5003 0.4992 0.2308 Tl
0.4997 0.5008 0.7692 Tl
0.1342 0.2160 0.3053 Br
0.1363 0.2148 0.6933 Br
0.3129 0.8090 0.4990 Br
0.3756 0.7365 0.0001 Br
0.6244 0.2635 0.9999 Br
0.6871 0.1910 0.5010 Br
0.8637 0.7852 0.3067 Br
0.8658 0.7840 0.6947 Br
```



Entry 6:
Density functional theory data (PBE-GGA) for a relaxed Tc2HgBr crystal.

Values from the calculation:
As for the uncorrected formation energy: 1.104 eV/atom. Its space group is No. 12. The crystal system is monoclinic. The calculation puts the relative energy among the computed polymorphs at 3.44 eV/f.u. The mass density comes out at 10.7 g cm⁻³.

Structure (POSCAR):
```
Tc2HgBr
1.0
6.0083 0.0000 0.0000
0.0000 9.3729 0.0000
-1.5421 0.0000 2.6299
Tc Hg Br
4 2 2
Direct
0.2500 0.2500 0.0000 Tc
0.2500 0.7500 0.0000 Tc
0.7500 0.2500 0.0000 Tc
0.7500 0.7500 0.0000 Tc
0.0000 0.0000 0.0000 Hg
0.5000 0.5000 0.0000 Hg
0.0000 0.5000 0.0000 Br
0.5000 0.0000 0.0000 Br
```



Entry 7:
Density functional theory data (PBE-GGA) for a relaxed KGaW3 crystal.

Values from the calculation:
As for the formation energy from the elements: 18.07 eV per formula unit. Its space group is No. 221. The crystal system is cubic. The calculation puts the relative energy among the computed polymorphs at 6.54 eV/f.u. The mass density comes out at 11.6 g cm⁻³.

Structure (POSCAR):
```
KGaW3
1.0
4.5546 0.0000 0.0000
0.0000 4.5546 0.0000
0.0000 0.0000 4.5546
K Ga W
1 1 3
Direct
0.0000 0.0000 0.0000 K
0.5000 0.5000 0.5000 Ga
0.0000 0.0000 0.5000 W
0.0000 0.5000 0.0000 W
0.5000 0.0000 0.0000 W
```



Entry 8:
Density functional theory data (PBE-GGA) for a relaxed CeNd2Pd crystal.

Values from the calculation:
As for the formation energy from the elements: -1.14 eV per formula unit. Its space group is No. 123. The crystal system is tetragonal. The calculation puts the relative energy among the computed polymorphs at 0.00 eV/f.u. The mass density comes out at 8.0 g cm⁻³.

Structure (POSCAR):
```
CeNd2Pd
1.0
3.6256 0.0000 0.0000
0.0000 3.6256 0.0000
0.0000 0.0000 8.4143
Ce Nd Pd
1 2 1
Direct
0.0000 0.0000 0.0000 Ce
0.5000 0.5000 0.2896 Nd
0.5000 0.5000 0.7104 Nd
0.0000 0.0000 0.5000 Pd
```



Question: Among the records above, which one has the lowest mass density?
Answer: RbNpTl2Br8